No. 1
Density functional theory data (GGA-PBEsol) for a geometry-optimized MnAl4Cl structure.

Lattice parameters (Å, degrees): 5.3160 5.3160 5.3160 60.00 60.00 60.00
Last column: nearest neighbours and their distance in Å.
Fractional coordinates of all 6 atoms:
Mn 0.0000 0.0000 0.0000  12 Al 3.11, 4 Cl 3.26
Al 0.3739 0.3739 0.3739  6 Al 2.64-2.68
Al 0.3739 0.3739 0.8782  6 Al 2.64-2.68
Al 0.8782 0.3739 0.3739  6 Al 2.64-2.68
Al 0.3739 0.8782 0.3739  6 Al 2.64-2.68
Cl 0.7500 0.7500 0.7500  12 Al 3.12, 4 Mn 3.26

Output
- symmetry = F-43m, No. 216
- density of states at the Fermi level (states/eV/cell) = 2.302
- energy (eV per atom) = -4.3983


No. 2
Density functional theory data (GGA-PBEsol) for a geometry-optimized MnAl2Cl structure.

Lattice parameters (Å, degrees): 3.0003 4.9021 5.3004 117.54 106.44 90.00
Last column: nearest neighbours and their distance in Å.
Fractional coordinates of all 4 atoms:
Mn 0.5000 0.0000 0.0000  4 Al 2.63, 4 Cl 2.87
Al 0.7569 0.7569 0.5138  2 Mn 2.63, 2 Cl 2.74, 4 Al 2.88
Al 0.2431 0.2431 0.4862  2 Mn 2.63, 2 Cl 2.74, 4 Al 2.88
Cl 0.0000 0.5000 0.0000  4 Al 2.74, 4 Mn 2.87, 2 Cl 3.00

Output
- symmetry = Immm, No. 71
- density of states at the Fermi level (states/eV/cell) = 2.404
- energy (eV per atom) = -4.8058
- energy relative to the lowest polymorph listed for this composition (eV per atom) = 0.220


No. 3
Density functional theory data (GGA-PBEsol) for a geometry-optimized MnAl2Cl structure.

Lattice parameters (Å, degrees): 2.8281 4.6511 4.9829 104.95 106.49 90.00
Last column: nearest neighbours and their distance in Å.
Fractional coordinates of all 4 atoms:
Mn 0.2323 0.8153 0.4645  2 Cl 2.38, 4 Al 2.51-2.54
Al 0.9578 0.9127 0.9156  3 Mn 2.51-2.78, 2 Cl 2.77
Al 0.7525 0.2780 0.5050  1 Cl 2.34, 2 Mn 2.54
Cl 0.5574 0.4940 0.1149  1 Al 2.34, 2 Mn 2.38

Output
- symmetry = Cm, No. 8
- density of states at the Fermi level (states/eV/cell) = 1.182
- energy (eV per atom) = -5.0255
- energy relative to the lowest polymorph listed for this composition (eV per atom) = 0.000


No. 4
Density functional theory data (GGA-PBEsol) for a geometry-optimized MnAl2Cl structure.

Lattice parameters (Å, degrees): 2.7863 4.7668 4.7665 90.00 90.00 90.00
Last column: nearest neighbours and their distance in Å.
Fractional coordinates of all 4 atoms:
Mn 0.5000 0.8741 0.5000  8 Al 2.76, 2 Mn 2.79
Al 0.0000 0.8759 0.0000  4 Cl 2.76, 4 Mn 2.76, 2 Al 2.79
Al 0.0000 0.3734 0.5000  4 Mn 2.76, 4 Cl 2.76, 2 Al 2.79
Cl 0.5000 0.3767 0.0000  8 Al 2.76, 2 Cl 2.79

Output
- symmetry = Pmm2, No. 25
- density of states at the Fermi level (states/eV/cell) = 2.525
- energy (eV per atom) = -4.9529
- energy relative to the lowest polymorph listed for this composition (eV per atom) = 0.073


- Which formula does entry 4 have?
  MnAl2Cl


- Look up the energy of the second one.
  -4.8058 eV per atom


- What is the density of states at the Fermi level in the fourth record?
  2.525 states/eV/cell


- Which value of density of states at the Fermi level does entry 2 give?
  2.404 states/eV/cell